Record 1
Below is a geometry-optimized Cr2ReHIr structure, with properties calculated at the PBE level.

The structure in CIF format:
```
data_Cr2ReHIr
_space_group_name_H-M_alt 'P 4/m m m'
_space_group_IT_number 123
_space_group_name_Hall '-P 4 2'
_cell_length_a 3.806
_cell_length_b 3.806
_cell_length_c 3.810
_cell_angle_alpha 90.00
_cell_angle_beta 90.00
_cell_angle_gamma 90.00
loop_
_atom_site_label
_atom_site_type_symbol
_atom_site_fract_x
_atom_site_fract_y
_atom_site_fract_z
Cr1 Cr 0.000 0.500 0.000
Re1 Re 0.000 0.000 0.500
H1 H 0.000 0.000 0.000
Ir1 Ir 0.500 0.500 0.500
```

Record 2
Below is a geometry-optimized Cr2HIrRh structure, with properties calculated at the PBE level.

The structure in CIF format:
```
data_Cr2HIrRh
_space_group_name_H-M_alt 'P 4/m m m'
_space_group_IT_number 123
_space_group_name_Hall '-P 4 2'
_cell_length_a 3.804
_cell_length_b 3.804
_cell_length_c 3.768
_cell_angle_alpha 90.00
_cell_angle_beta 90.00
_cell_angle_gamma 90.00
loop_
_atom_site_label
_atom_site_type_symbol
_atom_site_fract_x
_atom_site_fract_y
_atom_site_fract_z
Cr1 Cr 0.000 0.500 0.000
H1 H 0.000 0.000 0.000
Ir1 Ir 0.000 0.000 0.500
Rh1 Rh 0.500 0.500 0.500
```

Record 3
Below is a geometry-optimized CrHIr2Rh structure, with properties calculated at the PBE level.

The structure in CIF format:
```
data_CrHIr2Rh
_space_group_name_H-M_alt 'P 4/m m m'
_space_group_IT_number 123
_space_group_name_Hall '-P 4 2'
_cell_length_a 3.872
_cell_length_b 3.872
_cell_length_c 3.886
_cell_angle_alpha 90.00
_cell_angle_beta 90.00
_cell_angle_gamma 90.00
loop_
_atom_site_label
_atom_site_type_symbol
_atom_site_fract_x
_atom_site_fract_y
_atom_site_fract_z
Cr1 Cr 0.000 0.000 0.000
H1 H 0.000 0.000 0.500
Ir1 Ir 0.000 0.500 0.500
Rh1 Rh 0.500 0.500 0.000
```

Record 4
Below is a geometry-optimized CrHIr2Rh structure, with properties calculated at the PBE level.

The structure in CIF format:
```
data_CrHIr2Rh
_space_group_name_H-M_alt 'P 4/m m m'
_space_group_IT_number 123
_space_group_name_Hall '-P 4 2'
_cell_length_a 3.892
_cell_length_b 3.892
_cell_length_c 3.878
_cell_angle_alpha 90.00
_cell_angle_beta 90.00
_cell_angle_gamma 90.00
loop_
_atom_site_label
_atom_site_type_symbol
_atom_site_fract_x
_atom_site_fract_y
_atom_site_fract_z
Cr1 Cr 0.000 0.000 0.000
H1 H 0.500 0.500 0.500
Ir1 Ir 0.000 0.500 0.500
Rh1 Rh 0.500 0.500 0.000
```

Total energy across the listed records, respectively: -43.9 -39.1 -38.3 -38.2 eV per cell.
Energy above the most stable polymorph in this dataset across the listed records, respectively: 0 32 0 8 meV per atom.